# 1
Material: Tb2PmMg
Method: DFT, PBE
State: optimized geometry

Summary:
V, A^3/atom: 30.32
DFT total energy, eV per atom: -3.89
Energy of formation from the pure elements, eV per atom: 0.015
Symmetry: P4/mmm (123)
ΔE to the lowest computed polymorph, eV per atom: 0.046

Lattice parameters (Å, degrees): 4.982 4.934 4.934 90.00 90.00 90.00
Atoms (fractional coordinates):
Mg: 0.500 0.000 0.000
Tb: 0.000 0.500 0.000
Tb: 0.000 0.000 0.500
Pm: 0.500 0.500 0.500


# 2
Material: Tb4Pm4Mg
Method: DFT, PBE
State: optimized geometry

Summary:
V, A^3/atom: 32.09
DFT total energy, eV per atom: -4.33
Energy of formation from the pure elements, eV per atom: 0.016
Symmetry: P-1 (2)

Lattice parameters (Å, degrees): 7.125 7.990 12.868 108.30 65.48 77.16
Atoms (fractional coordinates):
Pm: 0.304 0.945 0.610
Pm: 0.196 0.056 0.386
Pm: 0.914 0.835 0.834
Pm: 0.804 0.944 0.614
Pm: 0.696 0.055 0.390
Pm: 0.972 0.279 0.944
Pm: 0.028 0.721 0.056
Pm: 0.086 0.165 0.166
Mg: 0.638 0.608 0.278
Mg: 0.362 0.392 0.722
Tb: 0.523 0.723 0.058
Tb: 0.137 0.612 0.278
Tb: 0.477 0.277 0.942
Tb: 0.863 0.388 0.722
Tb: 0.583 0.174 0.168
Tb: 0.753 0.500 0.499
Tb: 0.247 0.500 0.501
Tb: 0.417 0.826 0.832


# 3
Material: Tb15Pm2Mg2
Method: DFT, PBE
State: optimized geometry

Summary:
V, A^3/atom: 32.82
DFT total energy, eV per atom: -4.11
Energy of formation from the pure elements, eV per atom: 0.216
Symmetry: R-3m (166)

Lattice parameters (Å, degrees): 8.639 8.639 8.639 81.07 81.07 81.07
Atoms (fractional coordinates):
Tb: 0.638 0.638 0.150
Tb: 0.850 0.362 0.362
Tb: 0.296 0.000 0.704
Tb: 0.000 0.296 0.704
Tb: 0.704 0.000 0.296
Tb: 0.500 0.000 0.000
Tb: 0.704 0.296 0.000
Tb: 0.000 0.000 0.500
Tb: 0.000 0.500 0.000
Tb: 0.362 0.362 0.850
Tb: 0.638 0.150 0.638
Tb: 0.000 0.704 0.296
Tb: 0.362 0.850 0.362
Tb: 0.150 0.638 0.638
Tb: 0.296 0.704 0.000
Pm: 0.325 0.325 0.325
Pm: 0.675 0.675 0.675
Mg: 0.093 0.093 0.093
Mg: 0.907 0.907 0.907


# 4
Material: Tb2Pm3Mg2
Method: DFT, PBE
State: optimized geometry

Summary:
V, A^3/atom: 31.09
DFT total energy, eV per atom: -3.77
Energy of formation from the pure elements, eV per atom: 0.044
Symmetry: Cmmm (65)

Lattice parameters (Å, degrees): 5.318 3.484 12.042 90.00 77.24 90.00
Site moments in Bohr magnetons follow the coordinates.
Atoms (fractional coordinates):
Mg: 0.431 0.500 0.139  0.00
Mg: 0.569 0.500 0.861  0.00
Pm: 0.148 0.000 0.703  0.03
Pm: 0.000 0.000 0.000  0.14
Pm: 0.852 0.000 0.297  0.03
Tb: 0.288 0.500 0.424  0.00
Tb: 0.712 0.500 0.576  0.00


# 5
Material: Tb12Pm7Mg
Method: DFT, PBE
State: optimized geometry

Summary:
V, A^3/atom: 33.42
DFT total energy, eV per atom: -4.32
Energy of formation from the pure elements, eV per atom: 0.202
Symmetry: R-3 (148)

Lattice parameters (Å, degrees): 8.758 8.758 8.758 86.64 86.64 86.64
Atoms (fractional coordinates):
Tb: 0.249 0.738 0.859
Tb: 0.751 0.262 0.141
Tb: 0.138 0.500 0.614
Tb: 0.500 0.386 0.862
Tb: 0.386 0.862 0.500
Tb: 0.859 0.249 0.738
Tb: 0.262 0.141 0.751
Tb: 0.614 0.138 0.500
Tb: 0.500 0.614 0.138
Tb: 0.141 0.751 0.262
Tb: 0.862 0.500 0.386
Tb: 0.738 0.859 0.249
Pm: 0.079 0.151 0.396
Pm: 0.500 0.500 0.500
Pm: 0.921 0.849 0.604
Pm: 0.396 0.079 0.151
Pm: 0.849 0.604 0.921
Pm: 0.604 0.921 0.849
Pm: 0.151 0.396 0.079
Mg: 0.000 0.000 0.000


# 6
Material: Tb2Pm4ThMg
Method: DFT, PBE
State: optimized geometry

Summary:
V, A^3/atom: 32.23
DFT total energy, eV per atom: -4.56
Energy of formation from the pure elements, eV per atom: 0.096
Symmetry: P4/mmm (123)

Lattice parameters (Å, degrees): 5.909 9.458 5.905 51.39 90.00 90.00
Atoms (fractional coordinates):
Pm: 0.500 0.739 0.261
Pm: 0.500 0.261 0.739
Pm: 0.000 0.739 0.761
Pm: 0.000 0.261 0.239
Tb: 0.500 0.000 0.500
Tb: 0.000 0.000 0.000
Th: 0.000 0.500 0.500
Mg: 0.500 0.500 0.000


Total magnetization / μB per formula unit: 0.003; 0.000; 0.000; 0.335; 0.000; 0.000